# Be4CdPb (PBE, optimized geometry)
data_Be4CdPb
_chemical_formula_sum 'Be16 Cd4 Pb4'
_space_group_name_H-M_alt 'F -4 3 m'
_space_group_IT_number 216
_space_group_name_Hall 'F -4 2 3'
_cell_length_a 7.015
_cell_length_b 7.015
_cell_length_c 7.015
_cell_angle_alpha 90.00
_cell_angle_beta 90.00
_cell_angle_gamma 90.00
loop_
_atom_site_label
_atom_site_fract_x
_atom_site_fract_y
_atom_site_fract_z
Be1 0.122 0.122 0.378
Cd1 0.250 0.250 0.750
Pb1 0.000 0.000 0.000
# DFT total energy: -0.1984 Ry per atom
# formation energy from the elements: 556 meV per atom

=====

# DyTh2Pa (PBE, optimized geometry)
data_DyTh2Pa
_chemical_formula_sum 'Dy4 Th8 Pa4'
_space_group_name_H-M_alt 'F m -3 m'
_space_group_IT_number 225
_space_group_name_Hall '-F 4 2 3'
_cell_length_a 7.827
_cell_length_b 7.827
_cell_length_c 7.827
_cell_angle_alpha 90.00
_cell_angle_beta 90.00
_cell_angle_gamma 90.00
loop_
_atom_site_label
_atom_site_fract_x
_atom_site_fract_y
_atom_site_fract_z
Dy1 0.000 0.000 0.000
Th1 0.250 0.250 0.250
Pa1 0.000 0.000 0.500
# DFT total energy: -0.5118 Ry per atom
# formation energy from the elements: 271 meV per atom

=====

# CsBaHfP2 (PBE, optimized geometry)
data_CsBaHfP2
_chemical_formula_sum 'Cs1 Ba1 Hf1 P2'
_space_group_name_H-M_alt 'P 4/m m m'
_space_group_IT_number 123
_space_group_name_Hall '-P 4 2'
_cell_length_a 5.676
_cell_length_b 5.676
_cell_length_c 5.426
_cell_angle_alpha 90.00
_cell_angle_beta 90.00
_cell_angle_gamma 90.00
loop_
_atom_site_label
_atom_site_fract_x
_atom_site_fract_y
_atom_site_fract_z
Cs1 0.000 0.000 0.000
Ba1 0.500 0.500 0.500
Hf1 0.000 0.000 0.500
P1 0.000 0.500 0.000
# DFT total energy: -0.2387 Ry per atom
# formation energy from the elements: 1462 meV per atom

=====

# Ce2RhI2 (PBE, optimized geometry)
data_Ce2RhI2
_chemical_formula_sum 'Ce4 Rh2 I4'
_space_group_name_H-M_alt 'C 1 2/m 1'
_space_group_IT_number 12
_cell_length_a 7.193
_cell_length_b 4.153
_cell_length_c 12.170
_cell_angle_alpha 90.00
_cell_angle_beta 102.53
_cell_angle_gamma 90.00
loop_
_space_group_symop_operation_xyz
'x,y,z'
'-x,-y,-z'
'-x,y,-z'
'x,-y,z'
'x+1/2,y+1/2,z'
'-x+1/2,-y+1/2,-z'
'-x+1/2,y+1/2,-z'
'x+1/2,-y+1/2,z'
loop_
_atom_site_label
_atom_site_fract_x
_atom_site_fract_y
_atom_site_fract_z
Ce1 0.215 0.000 0.132
Rh1 0.000 0.500 0.000
I1 0.049 0.000 0.681
# formation energy from raw total energies: -5.05 eV/f.u.
# DFT total energy: -0.4023 Ry per atom

=====

# YCuSeN2 (PBE, optimized geometry)
data_YCuSeN2
_chemical_formula_sum 'Y1 Cu1 Se1 N2'
_space_group_name_H-M_alt 'P 4/m m m'
_space_group_IT_number 123
_space_group_name_Hall '-P 4 2'
_cell_length_a 3.987
_cell_length_b 3.987
_cell_length_c 4.687
_cell_angle_alpha 90.00
_cell_angle_beta 90.00
_cell_angle_gamma 90.00
loop_
_atom_site_label
_atom_site_fract_x
_atom_site_fract_y
_atom_site_fract_z
Y1 0.000 0.000 0.000
Cu1 0.500 0.500 0.500
Se1 0.500 0.500 0.000
N1 0.000 0.500 0.500
# formation energy from raw total energies: 2.36 eV/f.u.
# DFT total energy: -0.4166 Ry per atom

=====

# Ti2AlTcH (PBE, optimized geometry)
data_Ti2AlTcH
_chemical_formula_sum 'Ti2 Al1 Tc1 H1'
_space_group_name_H-M_alt 'P 4/m m m'
_space_group_IT_number 123
_space_group_name_Hall '-P 4 2'
_cell_length_a 4.170
_cell_length_b 4.170
_cell_length_c 3.701
_cell_angle_alpha 90.00
_cell_angle_beta 90.00
_cell_angle_gamma 90.00
loop_
_atom_site_label
_atom_site_fract_x
_atom_site_fract_y
_atom_site_fract_z
Ti1 0.000 0.500 0.000
Al1 0.000 0.000 0.500
Tc1 0.500 0.500 0.500
H1 0.500 0.500 0.000
# DFT total energy: -0.5179 Ry per atom

=====

| no. | Fermi-level density of states (states/eV/atom) |
| --- | --- |
| 1 | 0.530 |
| 2 | 2.467 |
| 3 | 1.441 |
| 4 | 2.492 |
| 5 | 0.686 |
| 6 | 0.944 |